Below is a relaxed PmCrTcO6 crystal, with properties calculated at the PBE with a Hubbard U level.

Structure (POSCAR):
```
PmCrTcO6
1.0
5.187 0.000 0.000
-2.593 4.492 0.000
0.000 0.000 10.057
O Tc Pm Cr
12 2 2 2
Cartesian
3.288 0.043 3.593
0.695 4.449 8.622
-1.607 2.869 8.622
3.505 2.826 3.593
0.986 1.623 3.593
1.607 2.869 6.464
4.200 1.623 1.436
0.912 1.666 8.622
1.681 2.826 1.436
-0.912 1.666 6.464
-0.695 4.449 6.464
1.899 0.043 1.436
2.593 1.497 2.514
0.000 2.994 7.543
0.000 0.000 5.029
0.000 0.000 0.000
0.000 2.994 2.514
2.593 1.497 7.543
```

Calculated values
Final energy in eV per atom: -7.898